# Bi2SbAs2 (GGA-PBE, optimized geometry)
data_Bi2SbAs2
_chemical_formula_sum 'Bi4 Sb2 As4'
_space_group_name_H-M_alt 'P 4/m b m'
_space_group_IT_number 127
_space_group_name_Hall '-P 4 2ab'
_cell_length_a 8.2391
_cell_length_b 8.2391
_cell_length_c 3.9487
_cell_angle_alpha 90.00
_cell_angle_beta 90.00
_cell_angle_gamma 90.00
loop_
_atom_site_label
_atom_site_fract_x
_atom_site_fract_y
_atom_site_fract_z
Bi1 0.1567 0.3433 0.0000
Sb1 0.0000 0.0000 0.5000
As1 0.1620 0.6620 0.5000
# mass density	8.5	g cm⁻³
# excess energy over the best structure of this formula in the dataset	26.7	meV per atom
# total DFT energy (no corrections)	-20.1	eV per formula unit
# raw formation energy	0.2110	eV per atom